Entry 1:
A plane-wave DFT calculation with PBE was carried out for a geometry-optimized Tm5CoSb2 structure.

```
Tm5CoSb2
1.0
2.696 -7.430 0.000
2.696 7.430 0.000
0.000 0.000 14.274
Tm Co Sb
10 2 4
direct
0.051 0.949 0.628 Tm
0.051 0.949 0.872 Tm
0.281 0.719 0.610 Tm
0.281 0.719 0.890 Tm
0.300 0.700 0.250 Tm
0.700 0.300 0.750 Tm
0.719 0.281 0.110 Tm
0.719 0.281 0.390 Tm
0.949 0.051 0.128 Tm
0.949 0.051 0.372 Tm
0.173 0.827 0.750 Co
0.827 0.173 0.250 Co
0.145 0.855 0.062 Sb
0.145 0.855 0.438 Sb
0.855 0.145 0.562 Sb
0.855 0.145 0.938 Sb
```

## Properties
E_form (uncorrected) ... -267 meV per atom
Raw total energy ... -4.98 eV/atom
Polymorph energy (0 for the lowest one) ... 40.3 kJ/mol of atoms
Total magnetization ... 0.000 μB/atom
SG ... Cmcm, No. 63
Fermi-level density of states ... 7.711 states/eV per cell

Entry 2:
A plane-wave DFT calculation with PBE was carried out for a geometry-optimized RbY2InPb structure.

```
RbY2InPb
1.0
6.586 0.000 0.000
0.000 6.586 0.000
0.000 0.000 6.810
Rb Y In Pb
1 2 1 1
direct
0.000 0.000 0.000 Rb
0.000 0.500 0.000 Y
0.500 0.000 0.000 Y
0.500 0.500 0.500 In
0.000 0.000 0.500 Pb
```

## Properties
Raw total energy ... -2.56 eV/atom
Total magnetization ... 0.000 μB/atom
Calculated formation energy ... 1.51 eV/atom
SG ... P4/mmm, No. 123
Fermi-level density of states ... 9.398 states/eV per cell

Entry 3:
A plane-wave DFT calculation with PBE was carried out for a geometry-optimized ErNpP2Ir5 structure.

```
ErNpP2Ir5
1.0
4.007 0.000 0.000
0.000 4.007 0.000
0.000 0.000 11.007
Er Np P Ir
1 1 2 5
direct
0.000 0.000 0.000 Er
0.000 0.000 0.500 Np
0.500 0.500 0.291 P
0.500 0.500 0.709 P
0.000 0.500 0.195 Ir
0.000 0.500 0.805 Ir
0.500 0.000 0.195 Ir
0.500 0.000 0.805 Ir
0.500 0.500 0.500 Ir
```

## Properties
Raw total energy ... -8.54 eV/atom
Total magnetization ... 0.419 μB/atom
Calculated formation energy ... -0.47 eV/atom
SG ... P4/mmm, No. 123
Fermi-level density of states ... 11.873 states/eV per cell

Entry 4:
A plane-wave DFT calculation with PBE was carried out for a geometry-optimized PmPrBi2O8 structure.

```
PmPrBi2O8
1.0
-2.760 2.760 5.799
2.760 -2.760 5.799
2.760 2.760 -5.799
Pm Pr Bi O
1 1 2 8
direct
0.000 0.000 0.000 Pm
0.750 0.250 0.500 Pr
0.250 0.750 0.500 Bi
0.500 0.500 0.000 Bi
0.094 0.654 0.056 O
0.156 0.209 0.552 O
0.346 0.403 0.440 O
0.397 0.844 0.053 O
0.597 0.038 0.944 O
0.657 0.603 0.448 O
0.791 0.343 0.947 O
0.962 0.906 0.560 O
```

## Properties
E_form (uncorrected) ... -1930 meV per atom
Raw total energy ... -6.68 eV/atom
Total magnetization ... 0.000 μB/atom
SG ... I-4, No. 82

Entry 5:
A plane-wave DFT calculation with PBE was carried out for a geometry-optimized ZrSO structure.

```
ZrSO
1.0
3.627 0.000 0.000
0.000 3.627 0.000
0.000 0.000 6.411
Zr S O
2 2 2
direct
0.250 0.250 0.198 Zr
0.750 0.750 0.802 Zr
0.250 0.250 0.627 S
0.750 0.750 0.373 S
0.250 0.750 0.000 O
0.750 0.250 0.000 O
```

## Properties
E_form (uncorrected) ... -2424 meV per atom
Raw total energy ... -8.30 eV/atom
Polymorph energy (0 for the lowest one) ... 2.5 kJ/mol of atoms
Total magnetization ... 0.000 μB/atom
SG ... P4/nmm, No. 129

Entry 6:
A plane-wave DFT calculation with PBE was carried out for a geometry-optimized Li6La3Sb2O12 structure.

```
Li6La3Sb2O12
1.0
-6.533 6.533 6.533
6.533 -6.533 6.533
6.533 6.533 -6.533
Li La Sb O
24 12 8 48
direct
0.007 0.109 0.777 Li
0.101 0.493 0.269 Li
0.109 0.777 0.007 Li
0.168 0.769 0.277 Li
0.223 0.993 0.891 Li
0.231 0.723 0.832 Li
0.269 0.101 0.493 Li
0.277 0.168 0.769 Li
0.332 0.609 0.601 Li
0.391 0.399 0.668 Li
0.399 0.668 0.391 Li
0.493 0.269 0.101 Li
0.507 0.731 0.899 Li
0.601 0.332 0.609 Li
0.609 0.601 0.332 Li
0.668 0.391 0.399 Li
0.723 0.832 0.231 Li
0.731 0.899 0.507 Li
0.769 0.277 0.168 Li
0.777 0.007 0.109 Li
0.832 0.231 0.723 Li
0.891 0.223 0.993 Li
0.899 0.507 0.731 Li
0.993 0.891 0.223 Li
0.115 0.250 0.365 La
0.135 0.385 0.750 La
0.250 0.365 0.115 La
0.250 0.865 0.615 La
0.365 0.115 0.250 La
0.385 0.750 0.135 La
0.615 0.250 0.865 La
0.635 0.885 0.750 La
0.750 0.135 0.385 La
0.750 0.635 0.885 La
0.865 0.615 0.250 La
0.885 0.750 0.635 La
0.000 0.000 0.000 Sb
0.000 0.000 0.500 Sb
0.000 0.500 0.000 Sb
0.000 0.500 0.500 Sb
0.500 0.000 0.000 Sb
0.500 0.000 0.500 Sb
0.500 0.500 0.000 Sb
0.500 0.500 0.500 Sb
0.017 0.321 0.904 O
0.034 0.210 0.121 O
0.083 0.888 0.404 O
0.087 0.621 0.411 O
0.089 0.710 0.676 O
0.096 0.983 0.679 O
0.112 0.596 0.917 O
0.121 0.034 0.210 O
0.176 0.466 0.587 O
0.179 0.195 0.583 O
0.195 0.583 0.179 O
0.210 0.121 0.034 O
0.290 0.324 0.911 O
0.305 0.483 0.388 O
0.321 0.904 0.017 O
0.324 0.911 0.290 O
0.379 0.589 0.913 O
0.388 0.305 0.483 O
0.404 0.083 0.888 O
0.411 0.087 0.621 O
0.413 0.824 0.534 O
0.417 0.821 0.805 O
0.466 0.587 0.176 O
0.483 0.388 0.305 O
0.517 0.612 0.695 O
0.534 0.413 0.824 O
0.583 0.179 0.195 O
0.587 0.176 0.466 O
0.589 0.913 0.379 O
0.596 0.917 0.112 O
0.612 0.695 0.517 O
0.621 0.411 0.087 O
0.676 0.089 0.710 O
0.679 0.096 0.983 O
0.695 0.517 0.612 O
0.710 0.676 0.089 O
0.790 0.879 0.966 O
0.805 0.417 0.821 O
0.821 0.805 0.417 O
0.824 0.534 0.413 O
0.879 0.966 0.790 O
0.888 0.404 0.083 O
0.904 0.017 0.321 O
0.911 0.290 0.324 O
0.913 0.379 0.589 O
0.917 0.112 0.596 O
0.966 0.790 0.879 O
0.983 0.679 0.096 O
```

## Properties
E_form (uncorrected) ... -2291 meV per atom
Raw total energy ... -6.38 eV/atom
Total magnetization ... 0.000 μB/atom
SG ... Ia-3, No. 206
Fermi-level density of states ... 18.259 states/eV per cell

Entry 7:
A plane-wave DFT calculation with PBE was carried out for a geometry-optimized ZnCd structure.

```
ZnCd
1.0
-4.108 4.108 4.108
4.108 -4.108 4.108
4.108 4.108 -4.108
Zn Cd
4 4
direct
0.000 0.000 0.773 Zn
0.000 0.773 0.000 Zn
0.227 0.227 0.227 Zn
0.773 0.000 0.000 Zn
0.000 0.000 0.413 Cd
0.000 0.413 0.000 Cd
0.413 0.000 0.000 Cd
0.587 0.587 0.587 Cd
```

## Properties
Raw total energy ... -0.74 eV/atom
Total magnetization ... 0.000 μB/atom
Calculated formation energy ... 0.35 eV/atom
SG ... I-43m, No. 217
Fermi-level density of states ... 3.986 states/eV per cell

Entry 8:
A plane-wave DFT calculation with PBE was carried out for a geometry-optimized SrPbC2O6 structure.

```
SrPbC2O6
1.0
4.499 -4.975 0.000
4.499 4.975 0.000
-2.480 0.000 6.440
Sr Pb C O
2 2 4 12
direct
0.108 0.892 0.750 Sr
0.892 0.108 0.250 Sr
0.352 0.648 0.250 Pb
0.648 0.352 0.750 Pb
0.143 0.365 0.790 C
0.365 0.143 0.290 C
0.635 0.857 0.710 C
0.857 0.635 0.210 C
0.018 0.755 0.354 O
0.138 0.561 0.861 O
0.245 0.982 0.146 O
0.283 0.300 0.366 O
0.300 0.283 0.866 O
0.439 0.862 0.639 O
0.561 0.138 0.361 O
0.700 0.717 0.134 O
0.717 0.700 0.634 O
0.755 0.018 0.854 O
0.862 0.439 0.139 O
0.982 0.245 0.646 O
```

## Properties
E_form (uncorrected) ... -1824 meV per atom
Raw total energy ... -7.18 eV/atom
Total magnetization ... 0.000 μB/atom
SG ... C2/c, No. 15
Fermi-level density of states ... 0.000 states/eV per cell

Which of these has the lowest raw total energy? ErNpP2Ir5

Repeat the sixth record exactly.
A plane-wave DFT calculation with PBE was carried out for a geometry-optimized Li6La3Sb2O12 structure.

```
Li6La3Sb2O12
1.0
-6.533 6.533 6.533
6.533 -6.533 6.533
6.533 6.533 -6.533
Li La Sb O
24 12 8 48
direct
0.007 0.109 0.777 Li
0.101 0.493 0.269 Li
0.109 0.777 0.007 Li
0.168 0.769 0.277 Li
0.223 0.993 0.891 Li
0.231 0.723 0.832 Li
0.269 0.101 0.493 Li
0.277 0.168 0.769 Li
0.332 0.609 0.601 Li
0.391 0.399 0.668 Li
0.399 0.668 0.391 Li
0.493 0.269 0.101 Li
0.507 0.731 0.899 Li
0.601 0.332 0.609 Li
0.609 0.601 0.332 Li
0.668 0.391 0.399 Li
0.723 0.832 0.231 Li
0.731 0.899 0.507 Li
0.769 0.277 0.168 Li
0.777 0.007 0.109 Li
0.832 0.231 0.723 Li
0.891 0.223 0.993 Li
0.899 0.507 0.731 Li
0.993 0.891 0.223 Li
0.115 0.250 0.365 La
0.135 0.385 0.750 La
0.250 0.365 0.115 La
0.250 0.865 0.615 La
0.365 0.115 0.250 La
0.385 0.750 0.135 La
0.615 0.250 0.865 La
0.635 0.885 0.750 La
0.750 0.135 0.385 La
0.750 0.635 0.885 La
0.865 0.615 0.250 La
0.885 0.750 0.635 La
0.000 0.000 0.000 Sb
0.000 0.000 0.500 Sb
0.000 0.500 0.000 Sb
0.000 0.500 0.500 Sb
0.500 0.000 0.000 Sb
0.500 0.000 0.500 Sb
0.500 0.500 0.000 Sb
0.500 0.500 0.500 Sb
0.017 0.321 0.904 O
0.034 0.210 0.121 O
0.083 0.888 0.404 O
0.087 0.621 0.411 O
0.089 0.710 0.676 O
0.096 0.983 0.679 O
0.112 0.596 0.917 O
0.121 0.034 0.210 O
0.176 0.466 0.587 O
0.179 0.195 0.583 O
0.195 0.583 0.179 O
0.210 0.121 0.034 O
0.290 0.324 0.911 O
0.305 0.483 0.388 O
0.321 0.904 0.017 O
0.324 0.911 0.290 O
0.379 0.589 0.913 O
0.388 0.305 0.483 O
0.404 0.083 0.888 O
0.411 0.087 0.621 O
0.413 0.824 0.534 O
0.417 0.821 0.805 O
0.466 0.587 0.176 O
0.483 0.388 0.305 O
0.517 0.612 0.695 O
0.534 0.413 0.824 O
0.583 0.179 0.195 O
0.587 0.176 0.466 O
0.589 0.913 0.379 O
0.596 0.917 0.112 O
0.612 0.695 0.517 O
0.621 0.411 0.087 O
0.676 0.089 0.710 O
0.679 0.096 0.983 O
0.695 0.517 0.612 O
0.710 0.676 0.089 O
0.790 0.879 0.966 O
0.805 0.417 0.821 O
0.821 0.805 0.417 O
0.824 0.534 0.413 O
0.879 0.966 0.790 O
0.888 0.404 0.083 O
0.904 0.017 0.321 O
0.911 0.290 0.324 O
0.913 0.379 0.589 O
0.917 0.112 0.596 O
0.966 0.790 0.879 O
0.983 0.679 0.096 O
```

## Properties
E_form (uncorrected) ... -2291 meV per atom
Raw total energy ... -6.38 eV/atom
Total magnetization ... 0.000 μB/atom
SG ... Ia-3, No. 206
Fermi-level density of states ... 18.259 states/eV per cell

Which value of raw total energy does entry 5 give? -8.30 eV/atom